Entry 1:
{"formula": "ZnSeBr", "functional": "PBE-GGA", "state": "optimized geometry", "cell": [[3.5463, 0.0000, 0.0000], [-1.7732, 3.0712, 0.0000], [0.0000, 0.0000, 7.3644]], "species": ["Zn", "Se", "Br"], "fractional_positions": [[0.0000, 0.0000, 0.0000], [0.3333, 0.6667, 0.7757], [0.6667, 0.3333, 0.2199]], "e_form_raw_ev_per_atom": -0.317, "magnetic_moment_mub_per_atom": 0.000, "energy_ev_per_atom": -2.461, "sg": "P3m1 (156)"}

---

Entry 2:
{"formula": "Tc2PBr", "functional": "PBE-GGA", "state": "optimized geometry", "cell": [[0.0000, 3.1620, 3.1620], [3.1620, 0.0000, 3.1620], [3.1620, 3.1620, 0.0000]], "species": ["Tc", "Tc", "P", "Br"], "fractional_positions": [[0.0000, 0.0000, 0.0000], [0.2500, 0.2500, 0.2500], [0.5000, 0.5000, 0.5000], [0.7500, 0.7500, 0.7500]], "e_form_raw_ev_per_atom": 1.017, "magnetic_moment_mub_per_atom": 0.002, "de_polymorph_mev_per_atom": 1079, "energy_ev_per_atom": -5.937, "sg": "F-43m (216)"}

---

Entry 3:
{"formula": "Sm2DyScTe4", "functional": "PBE-GGA", "state": "optimized geometry", "cell": [[7.5105, 0.0000, 0.0000], [0.0000, 4.3064, 0.0000], [-2.4733, 0.0000, 7.2301]], "species": ["Sm", "Sm", "Dy", "Sc", "Te", "Te", "Te", "Te"], "fractional_positions": [[0.0000, 0.0000, 0.0000], [0.5000, 0.5000, 0.0000], [0.0000, 0.5000, 0.5000], [0.5000, 0.0000, 0.5000], [0.2525, 0.0000, 0.7375], [0.2624, 0.5000, 0.2673], [0.7376, 0.5000, 0.7327], [0.7475, 0.0000, 0.2625]], "e_form_raw_ev_per_atom": -1.279, "magnetic_moment_mub_per_atom": 0.000, "energy_ev_per_atom": -5.397, "sg": "P2/m (10)"}

---

Entry 4:
{"formula": "Tb4NdSm5", "functional": "PBE-GGA", "state": "optimized geometry", "cell": [[3.6086, 0.0000, 0.0000], [-1.7860, 9.3548, 0.0000], [-0.0276, -2.8096, 9.8118]], "species": ["Tb", "Tb", "Tb", "Tb", "Nd", "Sm", "Sm", "Sm", "Sm", "Sm"], "fractional_positions": [[0.1007, 0.2014, 0.3000], [0.2994, 0.5996, 0.8999], [0.7006, 0.4004, 0.1001], [0.8993, 0.7986, 0.7000], [0.5000, 0.0000, 0.0000], [0.1010, 0.2014, 0.8006], [0.3001, 0.5994, 0.3998], [0.5000, 0.0000, 0.5000], [0.6999, 0.4006, 0.6002], [0.8990, 0.7986, 0.1994]], "magnetic_moment_mub_per_atom": 0.000, "de_polymorph_mev_per_atom": 0, "energy_ev_per_atom": -4.674, "sg": "P-1 (2)", "formation_enthalpy_0k_ev_per_fu": 0.1}

---

Entry 5:
{"formula": "La3Nd3SmTe8", "functional": "PBE-GGA", "state": "optimized geometry", "cell": [[4.5083, 2.6029, 7.4229], [-4.5083, 2.6029, 7.4229], [0.0000, -5.2057, 7.4229]], "species": ["La", "La", "La", "Nd", "Nd", "Nd", "Sm", "Te", "Te", "Te", "Te", "Te", "Te", "Te", "Te"], "fractional_positions": [[0.0000, 0.5000, 0.5000], [0.5000, 0.0000, 0.5000], [0.5000, 0.5000, 0.0000], [0.0000, 0.0000, 0.5000], [0.0000, 0.5000, 0.0000], [0.5000, 0.0000, 0.0000], [0.5000, 0.5000, 0.5000], [0.2456, 0.7513, 0.7513], [0.2485, 0.2485, 0.2485], [0.2487, 0.2487, 0.7544], [0.2487, 0.7544, 0.2487], [0.7513, 0.2456, 0.7513], [0.7513, 0.7513, 0.2456], [0.7515, 0.7515, 0.7515], [0.7544, 0.2487, 0.2487]], "e_form_raw_ev_per_atom": -1.524, "magnetic_moment_mub_per_atom": 0.000, "energy_ev_per_atom": -5.453, "sg": "R-3m (166)"}

---

Entry 6:
{"formula": "SmDyRh", "functional": "PBE-GGA", "state": "optimized geometry", "cell": [[-1.7423, 1.7423, 6.4031], [1.7423, -1.7423, 6.4031], [1.7423, 1.7423, -6.4031]], "species": ["Sm", "Dy", "Rh"], "fractional_positions": [[0.0000, 0.0000, 0.0000], [0.2596, 0.2596, 0.0000], [0.6358, 0.6358, 0.0000]], "magnetic_moment_mub_per_atom": 0.000, "de_polymorph_mev_per_atom": 33, "energy_ev_per_atom": -6.066, "sg": "I4mm (107)", "formation_enthalpy_0k_ev_per_fu": -1.5}

---

Entry 7:
{"formula": "TiMn", "functional": "PBE-GGA", "state": "optimized geometry", "cell": [[9.9837, 0.0000, 0.0000], [0.0000, 4.8894, 0.0000], [0.0000, 0.0000, 4.5996]], "species": ["Ti", "Ti", "Ti", "Ti", "Ti", "Ti", "Ti", "Ti", "Mn", "Mn", "Mn", "Mn", "Mn", "Mn", "Mn", "Mn"], "fractional_positions": [[0.0706, 0.2500, 0.0159], [0.2249, 0.7500, 0.1630], [0.2751, 0.2500, 0.6630], [0.4294, 0.7500, 0.5159], [0.5706, 0.2500, 0.4841], [0.7249, 0.7500, 0.3370], [0.7751, 0.2500, 0.8370], [0.9294, 0.7500, 0.9841], [0.0000, 0.0000, 0.5000], [0.0000, 0.5000, 0.5000], [0.1604, 0.7500, 0.6933], [0.3396, 0.2500, 0.1933], [0.5000, 0.0000, 0.0000], [0.5000, 0.5000, 0.0000], [0.6604, 0.7500, 0.8067], [0.8396, 0.2500, 0.3067]], "magnetic_moment_mub_per_atom": 0.000, "energy_ev_per_atom": -8.516, "sg": "Pnma (62)", "formation_enthalpy_0k_ev_per_fu": 0.0}

---

Entry 8:
{"formula": "Sc4CdIn", "functional": "PBE-GGA", "state": "optimized geometry", "cell": [[3.2566, 0.0000, 0.0000], [0.0000, 5.2486, 0.0000], [0.0000, 0.0000, 8.6333]], "species": ["Sc", "Sc", "Sc", "Sc", "Cd", "In"], "fractional_positions": [[0.0000, 0.0000, 0.1932], [0.0000, 0.0000, 0.8068], [0.5000, 0.5000, 0.3026], [0.5000, 0.5000, 0.6974], [0.0000, 0.5000, 0.0000], [0.5000, 0.0000, 0.5000]], "magnetic_moment_mub_per_atom": 0.000, "de_polymorph_mev_per_atom": 0, "energy_ev_per_atom": -4.871, "sg": "Pmmm (47)", "formation_enthalpy_0k_ev_per_fu": -0.2}